Below is a geometry-optimized YBe2InH structure, with properties calculated at the PBE-GGA level.

Unit cell a=4.2299 b=4.2299 c=4.1298 alpha=90.00 beta=90.00 gamma=90.00
With the nearest neighbours (Å) after each atom.
Space group P4/mmm (No. 123)
Asymmetric unit:
Y (0.0000, 0.0000, 0.0000) [1 per cell]  2 H 2.06
Be (0.0000, 0.5000, 0.5000) [2 per cell]  2 H 2.11
In (0.5000, 0.5000, 0.0000) [1 per cell]  8 Be 2.96, 4 Y 2.99
H (0.0000, 0.0000, 0.5000) [1 per cell]  2 Y 2.06, 4 Be 2.11

## Properties
Its magnetization is 0.00 μB/atom. Its total energy is -3.89 eV per atom.

***

Below is a geometry-optimized ZrBeIn2H structure, with properties calculated at the PBE-GGA level.

Unit cell a=5.8341 b=5.8341 c=4.7718 alpha=90.00 beta=90.00 gamma=90.00
With the nearest neighbours (Å) after each atom.
Space group P4/mmm (No. 123)
Asymmetric unit:
Zr (0.0000, 0.0000, 0.0000) [1 per cell]  2 Be 2.39
Be (0.0000, 0.0000, 0.5000) [1 per cell]  2 Zr 2.39
In (0.0000, 0.5000, 0.0000) [2 per cell]  2 Zr 2.92
H (0.5000, 0.5000, 0.5000) [1 per cell]  8 In 3.77, 4 Be 4.13

## Properties
Its magnetization is 0.20 μB/atom. Its total energy is -2.81 eV per atom.

***

Below is a geometry-optimized Be2H2Ir structure, with properties calculated at the PBE-GGA level.

Unit cell a=2.6796 b=2.6796 c=10.6355 alpha=90.00 beta=90.00 gamma=90.00
With the nearest neighbours (Å) after each atom.
Space group I4/mmm (No. 139)
Asymmetric unit:
Be (0.0000, 0.0000, 0.1480) [4 per cell]  4 H 1.72
H (0.0000, 0.5000, 0.2500) [4 per cell]  4 Be 1.72, 4 H 1.89
Ir (0.0000, 0.0000, 0.5000) [2 per cell]  8 Be 2.46, 4 Ir 2.68

## Properties
Its energy above the most stable polymorph in this dataset is 0.0000 eV/atom. Its magnetization is 0.00 μB/atom.

***

Below is a geometry-optimized BeHIr structure, with properties calculated at the PBE-GGA level.

Unit cell a=7.6240 b=2.8930 c=5.0556 alpha=90.00 beta=103.67 gamma=90.00
With the nearest neighbours (Å) after each atom.
Space group C2/m (No. 12)
Asymmetric unit:
Be (0.1265, 0.0000, 0.4126) [4 per cell]  3 H 2.23-2.30, 3 Be 2.30-2.37, 5 Ir 2.34-2.37
H (0.2188, 0.5000, 0.1377) [4 per cell]  3 Ir 1.83-1.90
Ir (0.1172, 0.5000, 0.7716) [4 per cell]  3 H 1.83-1.90

## Properties
Its magnetization is 0.00 μB/atom. Its total energy is -5.41 eV per atom.

***

Below is a geometry-optimized BeH2Ir structure, with properties calculated at the PBE-GGA level.

Unit cell a=3.6919 b=3.6919 c=9.0233 alpha=90.00 beta=90.00 gamma=90.00
With the nearest neighbours (Å) after each atom.
Space group I-42d (No. 122)
Asymmetric unit:
Be (0.0000, 0.0000, 0.0000) [4 per cell]  4 H 1.69
H (0.2313, 0.2500, 0.1250) [8 per cell]  2 Be 1.69, 2 Ir 1.76
Ir (0.0000, 0.0000, 0.5000) [4 per cell]  4 H 1.76

## Properties
Its energy above the most stable polymorph in this dataset is 0.0000 eV/atom. Its magnetization is 0.00 μB/atom.

***

Below is a geometry-optimized Be2HIr structure, with properties calculated at the PBE-GGA level.

Unit cell a=5.6859 b=5.6859 c=4.1559 alpha=90.00 beta=90.00 gamma=90.00
With the nearest neighbours (Å) after each atom.
Space group I-42d (No. 122)
Asymmetric unit:
Be (0.1650, 0.2500, 0.1250) [8 per cell]  2 H 1.78
H (0.0000, 0.0000, 0.0000) [4 per cell]  4 Be 1.78
Ir (0.0000, 0.0000, 0.5000) [4 per cell]  2 H 2.08, 4 Be 2.31

## Properties
Its energy above the most stable polymorph in this dataset is 0.0000 eV/atom. Its magnetization is 0.00 μB/atom.

***

Below is a geometry-optimized BeH2Ir structure, with properties calculated at the PBE-GGA level.

Unit cell a=4.8871 b=4.8871 c=4.8871 alpha=90.00 beta=90.00 gamma=90.00
With the nearest neighbours (Å) after each atom.
Space group Fm-3m (No. 225)
Asymmetric unit:
Be (0.0000, 0.0000, 0.0000) [4 per cell]  8 H 2.12
H (0.2500, 0.2500, 0.2500) [8 per cell]  4 Be 2.12, 4 Ir 2.12
Ir (0.0000, 0.0000, 0.5000) [4 per cell]  8 H 2.12

## Properties
Its energy above the most stable polymorph in this dataset is 0.2806 eV/atom. Its magnetization is 0.00 μB/atom.

***

Below is a geometry-optimized Be2H2Ir structure, with properties calculated at the PBE-GGA level.

Unit cell a=5.9324 b=5.9324 c=2.4193 alpha=90.00 beta=90.00 gamma=90.00
With the nearest neighbours (Å) after each atom.
Space group P4/mbm (No. 127)
Asymmetric unit:
Be (0.1322, 0.3678, 0.0000) [4 per cell]  4 H 1.86
H (0.1049, 0.6049, 0.5000) [4 per cell]  1 H 1.76, 4 Be 1.86
Ir (0.0000, 0.0000, 0.0000) [2 per cell]  4 Be 2.32, 2 Ir 2.42

## Properties
Its energy above the most stable polymorph in this dataset is 0.5561 eV/atom. Its magnetization is 0.00 μB/atom.

***

Below is a geometry-optimized Be2HIr structure, with properties calculated at the PBE-GGA level.

Unit cell a=5.3217 b=5.3217 c=5.3217 alpha=90.00 beta=90.00 gamma=90.00
With the nearest neighbours (Å) after each atom.
Space group Fm-3m (No. 225)
Asymmetric unit:
Be (0.2500, 0.2500, 0.2500) [8 per cell]  4 H 2.30, 4 Ir 2.30
H (0.0000, 0.0000, 0.0000) [4 per cell]  8 Be 2.30
Ir (0.0000, 0.0000, 0.5000) [4 per cell]  8 Be 2.30

## Properties
Its energy above the most stable polymorph in this dataset is 0.4994 eV/atom. Its magnetization is 0.00 μB/atom.

***

Below is a geometry-optimized KBe2H8Ir structure, with properties calculated at the PBE-GGA level.

Unit cell a=4.2417 b=4.2417 c=21.5679 alpha=90.00 beta=90.00 gamma=120.00
With the nearest neighbours (Å) after each atom.
Space group R-3 (No. 148, hexagonal axes)
Asymmetric unit:
K (0.0000, 0.0000, 0.0000) [3 per cell]  12 H 2.67-2.90
Be (0.0000, 0.0000, 0.2177) [6 per cell]  4 H 1.43-1.55
H (0.0000, 0.0000, 0.2838) [6 per cell]  1 Be 1.43
H (0.0201, 0.3118, 0.5495) [18 per cell]  1 Be 1.55, 1 Ir 1.67
Ir (0.0000, 0.0000, 0.5000) [3 per cell]  6 H 1.67

## Properties
Its magnetization is 0.00 μB/atom. Its total energy is -3.85 eV per atom.

***

Below is a geometry-optimized KBeH6Ir structure, with properties calculated at the PBE-GGA level.

Unit cell a=4.3268 b=4.3268 c=5.8732 alpha=90.00 beta=90.00 gamma=120.00
With the nearest neighbours (Å) after each atom.
Space group P312 (No. 149)
Asymmetric unit:
K (0.0000, 0.0000, 0.0000) [1 per cell]  6 H 2.49
Be (0.6667, 0.3333, 0.5000) [1 per cell]  6 H 1.73
H (0.0109, 0.3538, 0.3378) [6 per cell]  1 Ir 1.67, 1 Be 1.73
Ir (0.3333, 0.6667, 0.5000) [1 per cell]  6 H 1.67

## Properties
Its magnetization is 0.00 μB/atom. Its total energy is -4.00 eV per atom.

***

Below is a geometry-optimized LaBeHIr structure, with properties calculated at the PBE-GGA level.

Unit cell a=4.1078 b=4.1078 c=7.4679 alpha=90.00 beta=90.00 gamma=90.00
With the nearest neighbours (Å) after each atom.
Space group P4/nmm (No. 129, origin choice 2)
Asymmetric unit:
La (0.2500, 0.2500, 0.2006) [2 per cell]  1 H 2.61
Be (0.2500, 0.2500, 0.6387) [2 per cell]  1 H 1.58
H (0.2500, 0.2500, 0.8508) [2 per cell]  1 Be 1.58
Ir (0.2500, 0.7500, 0.5000) [2 per cell]  4 Be 2.30

## Properties
Its magnetization is 0.00 μB/atom. Its total energy is -5.82 eV per atom.